1.
A relaxed structure of GeOs, computed with GGA-PBE.

The structure belongs to space group C2/m (No. 12); the cell edges are 8.970, 3.074 and 5.958 Å and the angles 90.00°, 131.56° and 90.00°. The distinct sites, in fractional coordinates, are Ge at (0.210, 0.000, 0.269) and Os at (0.048, 0.500, 0.804).

Its total magnetization is 0.00 μB per formula unit. For the density of states at the Fermi level, the calculation gives 0.9244 states/eV/atom. As for the total energy: -7.69 eV per atom. For the calculated formation energy, the calculation gives 232 meV/atom.

---

2.
A relaxed structure of Rb2GeSbCl6, computed with GGA-PBE.

The structure belongs to space group I4/mmm (No. 139); the cell edges are 7.639, 7.639 and 10.869 Å and the angles 90.00°, 90.00° and 90.00°. The distinct sites, in fractional coordinates, are Rb at (0.000, 0.500, 0.250), Ge at (0.000, 0.000, 0.000), Sb at (0.000, 0.000, 0.500), Cl at (0.000, 0.000, 0.246) and Cl at (0.246, 0.246, 0.000).

Its total magnetization is 0.00 μB per formula unit. The uncorrected formation energy comes out at -1.170 eV/atom. For the density of states at the Fermi level, the calculation gives 0.4493 states/eV/atom. As for the total energy: -3.35 eV per atom.

---

3.
A relaxed structure of PaCd2PtO8, computed with GGA-PBE.

The structure belongs to space group P2/m (No. 10); the cell edges are 5.045, 6.699 and 5.059 Å and the angles 90.00°, 92.58° and 90.00°. The distinct sites, in fractional coordinates, are Pa at (0.000, 0.000, 0.000), Cd at (0.500, 0.256, 0.500), Pt at (0.000, 0.500, 0.000), O at (0.179, 0.272, 0.825), O at (0.274, 0.500, 0.278) and O at (0.293, 0.000, 0.296).

Its total magnetization is 1.32 μB per formula unit. The uncorrected formation energy comes out at -1.374 eV/atom. For the density of states at the Fermi level, the calculation gives 0.5902 states/eV/atom. As for the total energy: -6.13 eV per atom.

---

4.
A relaxed structure of Al2Fe2Cu, computed with GGA-PBE.

The structure belongs to space group C2/m (No. 12); the cell edges are 7.062, 4.065 and 4.963 Å and the angles 90.00°, 118.50° and 90.00°. The distinct sites, in fractional coordinates, are Al at (0.099, 0.000, 0.299), Fe at (0.194, 0.500, 0.084) and Cu at (0.000, 0.500, 0.500).

Its total magnetization is 3.80 μB per formula unit. For the density of states at the Fermi level, the calculation gives 0.7294 states/eV/atom. As for the total energy: -5.89 eV per atom. For the calculated formation energy, the calculation gives -188 meV/atom.

---

5.
A relaxed structure of KHg2Se2, computed with GGA-PBE.

The structure belongs to space group C2/m (No. 12); the cell edges are 9.004, 15.079 and 6.672 Å and the angles 90.00°, 127.45° and 90.00°. The distinct sites, in fractional coordinates, are K at (0.000, 0.233, 0.000), Hg at (0.000, 0.369, 0.500), Hg at (0.068, 0.000, 0.369), Se at (0.000, 0.202, 0.500) and Se at (0.240, 0.500, 0.811).

Its total magnetization is 0.00 μB per formula unit. The uncorrected formation energy comes out at -0.448 eV/atom. As for the total energy: -2.18 eV per atom.

---

6.
A relaxed structure of Ca2InFe2, computed with GGA-PBE.

The structure belongs to space group I4/mmm (No. 139); the cell edges are 3.258, 3.258 and 19.951 Å and the angles 90.00°, 90.00° and 90.00°. The distinct sites, in fractional coordinates, are Ca at (0.000, 0.000, 0.124), In at (0.000, 0.000, 0.500) and Fe at (0.000, 0.500, 0.250).

Its total magnetization is 0.00 μB per formula unit. For the density of states at the Fermi level, the calculation gives 1.3505 states/eV/atom. As for the total energy: -4.47 eV per atom. For the calculated formation energy, the calculation gives 265 meV/atom.

---

7.
A relaxed structure of CsRe2Mo, computed with GGA-PBE.

The structure belongs to space group I-42d (No. 122); the cell edges are 7.808, 7.808 and 5.584 Å and the angles 90.00°, 90.00° and 90.00°. The distinct sites, in fractional coordinates, are Cs at (0.000, 0.000, 0.000), Re at (0.195, 0.750, 0.625) and Mo at (0.000, 0.000, 0.500).

Its total magnetization is 0.00 μB per formula unit. For the density of states at the Fermi level, the calculation gives 1.3906 states/eV/atom. As for the total energy: -7.01 eV per atom. For the calculated formation energy, the calculation gives 2135 meV/atom.

---

8.
A relaxed structure of V3SiBi, computed with GGA-PBE.

The structure belongs to space group Pm-3m (No. 221); the cell edges are 4.622, 4.622 and 4.622 Å and the angles 90.00°, 90.00° and 90.00°. The distinct sites, in fractional coordinates, are V at (0.000, 0.000, 0.500), Si at (0.000, 0.000, 0.000) and Bi at (0.500, 0.500, 0.500).

Its total magnetization is 6.53 μB per formula unit. The uncorrected formation energy comes out at 0.571 eV/atom. For the density of states at the Fermi level, the calculation gives 1.9558 states/eV/atom. As for the total energy: -6.76 eV per atom.